No. 1
{"formula": "Na4ZnI2", "functional": "GGA-PBE", "state": "optimized geometry", "e_tot_ev_per_cell": -12.5, "spacegroup": "I4/mmm (139)", "total_magnetization_mub_per_fu": 0.846, "formation_energy_uncorrected_mev_per_atom": -401, "lattice_angstrom": [[5.7657, 0.0000, 0.0000], [0.0000, 5.7657, 0.0000], [2.8829, 2.8829, 8.1693]], "species": ["Na", "I", "Zn", "Na", "Na", "Na", "I"], "frac_coords": [[0.8169, 0.8169, 0.3663], [0.3698, 0.3698, 0.2603], [0.0000, 0.0000, 0.0000], [0.1831, 0.1831, 0.6337], [0.5000, 0.0000, 0.0000], [0.0000, 0.5000, 0.0000], [0.6302, 0.6302, 0.7397]]}



No. 2
{"formula": "Na2ZnI", "functional": "GGA-PBE", "state": "optimized geometry", "e_tot_ev_per_cell": -13.2, "spacegroup": "I-42d (122)", "relative_energy_mev_per_atom": 39, "total_magnetization_mub_per_fu": 0.000, "formation_energy_uncorrected_mev_per_atom": -284, "lattice_angstrom": [[-2.0599, -2.5729, 4.5211], [-1.6643, -4.2811, -3.1946], [6.6293, -7.7705, 2.0603]], "species": ["Na", "I", "Zn", "Na", "I", "Na", "Zn", "Na"], "frac_coords": [[0.1458, 0.6250, 0.2500], [0.7500, 0.2500, 0.5000], [0.2500, 0.7500, 0.5000], [0.3750, 0.3958, 0.7500], [0.0000, 0.0000, 0.0000], [0.6042, 0.1250, 0.2500], [0.5000, 0.5000, 0.0000], [0.8750, 0.8542, 0.7500]]}



No. 3
{"formula": "Na3ZnI", "functional": "GGA-PBE", "state": "optimized geometry", "e_tot_ev_per_cell": -7.3, "spacegroup": "Pm-3m (221)", "relative_energy_mev_per_atom": 0, "total_magnetization_mub_per_fu": 0.000, "formation_energy_uncorrected_mev_per_atom": -113, "lattice_angstrom": [[6.0428, 0.0000, 0.0000], [0.0000, 6.0428, 0.0000], [0.0000, 0.0000, 6.0428]], "species": ["Na", "Na", "Na", "Zn", "I"], "frac_coords": [[0.0000, 0.0000, 0.5000], [0.0000, 0.5000, 0.0000], [0.5000, 0.0000, 0.0000], [0.5000, 0.5000, 0.5000], [0.0000, 0.0000, 0.0000]]}



No. 4
{"formula": "Na3ZnI", "functional": "GGA-PBE", "state": "optimized geometry", "e_tot_ev_per_cell": -7.3, "spacegroup": "Pm-3m (221)", "relative_energy_mev_per_atom": 5, "total_magnetization_mub_per_fu": 0.000, "formation_energy_uncorrected_mev_per_atom": -108, "lattice_angstrom": [[-2.6764, -4.9910, 0.6185], [2.6086, -0.7787, 5.0044], [-4.2997, 2.6342, 2.6512]], "species": ["I", "Zn", "Na", "Na", "Na"], "frac_coords": [[0.5000, 0.5000, 0.5000], [0.0000, 0.0000, 0.0000], [0.0000, 0.5000, 0.0000], [0.0000, 0.0000, 0.5000], [0.5000, 0.0000, 0.0000]]}



No. 5
{"formula": "NaZr4I7", "functional": "GGA-PBE", "state": "optimized geometry", "e_tot_ev_per_cell": -107.5, "spacegroup": "P1 (1)", "total_magnetization_mub_per_fu": 0.000, "formation_energy_uncorrected_mev_per_atom": -614, "lattice_angstrom": [[-1.6841, 2.0764, 4.9805], [-0.3029, -5.5544, 2.2142], [22.4459, 2.5656, 6.5137]], "species": ["Na", "I", "Zr", "I", "Zr", "I", "I", "I", "Zr", "I", "I", "Zr", "Zr", "I", "I", "I", "Zr", "Na", "Zr", "I", "Zr", "I", "I", "I"], "frac_coords": [[0.2777, 0.2477, 0.9999], [0.9892, 0.6987, 0.8818], [0.4862, 0.3346, 0.7460], [0.9888, 0.8017, 0.1183], [0.9858, 0.6644, 0.7542], [0.4965, 0.2843, 0.1248], [0.4764, 0.7489, 0.0001], [0.4974, 0.2157, 0.8752], [0.9890, 0.3072, 0.6556], [0.9963, 0.7834, 0.6249], [0.9894, 0.1741, 0.7726], [0.9894, 0.1932, 0.3444], [0.4860, 0.1657, 0.2540], [0.9763, 0.2501, 0.5000], [0.4890, 0.2001, 0.3816], [0.4891, 0.8250, 0.7275], [0.9859, 0.8360, 0.2458], [0.7783, 0.7498, 0.4999], [0.4893, 0.8083, 0.1555], [0.4893, 0.6754, 0.2725], [0.4896, 0.6919, 0.8445], [0.4886, 0.3003, 0.6184], [0.9892, 0.3264, 0.2274], [0.9971, 0.7170, 0.3751]]}



No. 6
{"formula": "NaZr3I", "functional": "GGA-PBE", "state": "optimized geometry", "e_tot_ev_per_cell": -21.5, "spacegroup": "Pm-3m (221)", "relative_energy_mev_per_atom": 484, "total_magnetization_mub_per_fu": 1.422, "formation_energy_uncorrected_mev_per_atom": 1401, "lattice_angstrom": [[5.1195, 0.0000, 0.0000], [0.0000, 5.1195, 0.0000], [0.0000, 0.0000, 5.1195]], "species": ["Zr", "Na", "Zr", "Zr", "I"], "frac_coords": [[0.5000, 0.0000, 0.0000], [0.0000, 0.0000, 0.0000], [0.0000, 0.0000, 0.5000], [0.0000, 0.5000, 0.0000], [0.5000, 0.5000, 0.5000]]}



No. 7
{"formula": "Na2ZrI", "functional": "GGA-PBE", "state": "optimized geometry", "e_tot_ev_per_cell": -22.5, "spacegroup": "I-42d (122)", "relative_energy_mev_per_atom": 0, "total_magnetization_mub_per_fu": 1.128, "formation_energy_uncorrected_mev_per_atom": 372, "lattice_angstrom": [[9.1225, 0.0000, 0.0000], [0.0000, 9.1225, 0.0000], [4.5612, 4.5612, 2.9427]], "species": ["I", "Na", "Na", "Na", "Na", "Zr", "I", "Zr"], "frac_coords": [[0.0000, 0.0000, 0.0000], [0.8750, 0.9040, 0.7500], [0.0960, 0.6250, 0.2500], [0.6540, 0.1250, 0.2500], [0.3750, 0.3460, 0.7500], [0.5000, 0.5000, 0.0000], [0.7500, 0.2500, 0.5000], [0.2500, 0.7500, 0.5000]]}



No. 8
{"formula": "Na3ZrI7", "functional": "GGA-PBE", "state": "optimized geometry", "e_tot_ev_per_cell": -35.0, "spacegroup": "Cm (8)", "total_magnetization_mub_per_fu": 0.000, "formation_energy_uncorrected_mev_per_atom": -1057, "lattice_angstrom": [[-1.4580, -8.3760, -1.8476], [5.9907, -5.2055, 3.5651], [-3.4362, -2.9178, 6.4377]], "species": ["I", "I", "Na", "I", "Na", "Na", "I", "I", "I", "Zr", "I"], "frac_coords": [[0.8660, 0.8660, 0.7635], [0.3186, 0.9074, 0.7728], [0.6260, 0.6260, 0.9501], [0.6579, 0.0796, 0.2099], [0.7655, 0.2180, 0.4925], [0.2180, 0.7655, 0.4925], [0.9074, 0.3186, 0.7728], [0.5785, 0.5785, 0.3516], [0.1198, 0.1198, 0.2206], [0.9878, 0.9878, 0.0137], [0.0796, 0.6579, 0.2099]]}



No. 9
{"formula": "NaZr3I", "functional": "GGA-PBE", "state": "optimized geometry", "e_tot_ev_per_cell": -23.9, "spacegroup": "Pm-3m (221)", "relative_energy_mev_per_atom": 0, "total_magnetization_mub_per_fu": 0.000, "formation_energy_uncorrected_mev_per_atom": 917, "lattice_angstrom": [[5.3483, 0.0000, 0.0000], [0.0000, 5.3483, 0.0000], [0.0000, 0.0000, 5.3483]], "species": ["Zr", "I", "Zr", "Zr", "Na"], "frac_coords": [[0.0000, 0.0000, 0.5000], [0.0000, 0.0000, 0.0000], [0.0000, 0.5000, 0.0000], [0.5000, 0.0000, 0.0000], [0.5000, 0.5000, 0.5000]]}



No. 10
{"formula": "NaZr2I", "functional": "GGA-PBE", "state": "optimized geometry", "e_tot_ev_per_cell": -35.8, "spacegroup": "I-42d (122)", "relative_energy_mev_per_atom": 0, "total_magnetization_mub_per_fu": 0.000, "formation_energy_uncorrected_mev_per_atom": 520, "lattice_angstrom": [[-6.2420, 1.7236, -5.3985], [-0.4323, -8.1528, -2.1031], [-5.3437, -3.6692, -1.5759]], "species": ["Zr", "Zr", "I", "Na", "Zr", "I", "Zr", "Na"], "frac_coords": [[0.8750, 0.9125, 0.7500], [0.3750, 0.3375, 0.7500], [0.0000, 0.0000, 0.0000], [0.2500, 0.7500, 0.5000], [0.0875, 0.6250, 0.2500], [0.7500, 0.2500, 0.5000], [0.6625, 0.1250, 0.2500], [0.5000, 0.5000, 0.0000]]}



No. 11
{"formula": "Na2Zr3I9", "functional": "GGA-PBE", "state": "optimized geometry", "e_tot_ev_per_cell": -110.0, "spacegroup": "C2/m (12)", "total_magnetization_mub_per_fu": 2.006, "formation_energy_uncorrected_mev_per_atom": -911, "lattice_angstrom": [[10.8083, 0.3190, -2.2436], [-3.5151, 9.0186, -5.2627], [0.1336, -0.1126, 11.0162]], "species": ["I", "I", "Zr", "Na", "I", "I", "I", "Zr", "I", "I", "I", "I", "I", "Zr", "I", "I", "Na", "I", "Zr", "I", "Na", "Na", "Zr", "I", "I", "I", "I", "Zr"], "frac_coords": [[0.5186, 0.2142, 0.4282], [0.5186, 0.4282, 0.2142], [0.6413, 0.2244, 0.0448], [0.1299, 0.5348, 0.2132], [0.8177, 0.1060, 0.8946], [0.8177, 0.8946, 0.1060], [0.1662, 0.4810, 0.8939], [0.3587, 0.9552, 0.7756], [0.4814, 0.7858, 0.5718], [0.5000, 0.7874, 0.2126], [0.1823, 0.1054, 0.8940], [0.1669, 0.6780, 0.6780], [0.8338, 0.5190, 0.1061], [0.3587, 0.7756, 0.9552], [0.8331, 0.3220, 0.3220], [0.8338, 0.1061, 0.5190], [0.1299, 0.2132, 0.5348], [0.2074, 0.3130, 0.3130], [0.6276, 0.8617, 0.8617], [0.4814, 0.5718, 0.7858], [0.8701, 0.7868, 0.4652], [0.8701, 0.4652, 0.7868], [0.6413, 0.0448, 0.2244], [0.1823, 0.8940, 0.1054], [0.5000, 0.2126, 0.7874], [0.7926, 0.6870, 0.6870], [0.1662, 0.8939, 0.4810], [0.3724, 0.1383, 0.1383]]}



No. 12
{"formula": "Na2ZrI", "functional": "GGA-PBE", "state": "optimized geometry", "e_tot_ev_per_cell": -10.4, "spacegroup": "Fm-3m (225)", "relative_energy_mev_per_atom": 214, "total_magnetization_mub_per_fu": 3.238, "formation_energy_uncorrected_mev_per_atom": 586, "lattice_angstrom": [[1.3820, -4.1793, 3.6631], [-3.0080, -4.8728, 0.0517], [2.3611, -4.8432, -1.9401]], "species": ["Zr", "Na", "Na", "I"], "frac_coords": [[0.0000, 0.0000, 0.0000], [0.2500, 0.2500, 0.2500], [0.7500, 0.7500, 0.7500], [0.5000, 0.5000, 0.5000]]}